Compound: Nd8Sm5Pu
Source: Alexandria
Functional: PBE-GGA
Structure: relaxed

Structure (POSCAR):
```
Nd8Sm5Pu
1.0
-5.7458 5.3833 -3.8647
-5.6578 -4.0599 5.1548
6.8189 3.3855 4.3555
Nd Sm Pu
8 5 1
Direct
0.9915 0.5675 0.9514
0.3838 0.4325 0.4240
0.0753 0.7016 0.4436
0.0918 0.1663 0.7587
0.5549 0.3755 0.8537
0.5925 0.8337 0.9255
0.4782 0.6245 0.1795
0.7419 0.2984 0.3736
0.2878 0.9574 0.0435
0.8274 0.7783 0.6894
0.9112 0.2217 0.0491
0.0862 0.0426 0.3304
0.5373 0.0000 0.5373
0.1903 0.5000 0.6903
```

**Formation enthalpy at 0 K**: 0.212 eV/atom
**Fermi-level density of states**: 23.32 states/eV per cell
**SG**: C2
**VASP energy**: -73.11 eV for the cell shown